Crystalline Cs2TcPdCl6 at its relaxed geometry. Source: OQMD via LeMat-Bulk, functional PBE-GGA.

Output
Energy (eV/atom): -3.91
Spin magnetization (Bohr magnetons per cell): 6.00
SG: P-1, No. 2

Lattice parameters (Å, degrees): 7.2121 7.2126 10.2318 89.99 89.99 89.97
Sites, in units of the cell vectors:
1 Cs 0.9999 0.0002 0.2502
2 Cs 0.0001 0.9998 0.7498
3 Cs 0.5002 0.5001 0.2502
4 Cs 0.4998 0.4999 0.7498
5 Tc 0.0000 0.5000 0.0000
6 Tc 0.5000 0.0000 0.5000
7 Pd 0.0000 0.5000 0.5000
8 Pd 0.5000 0.0000 0.0000
9 Cl 0.0003 0.4989 0.7608
10 Cl 0.9997 0.5011 0.2392
11 Cl 0.2354 0.7437 0.9996
12 Cl 0.2438 0.2647 0.0006
13 Cl 0.2580 0.2375 0.4994
14 Cl 0.2627 0.7583 0.5003
15 Cl 0.4999 0.0009 0.7393
16 Cl 0.5001 0.9991 0.2607
17 Cl 0.7373 0.2417 0.4997
18 Cl 0.7420 0.7625 0.5006
19 Cl 0.7562 0.7353 0.9994
20 Cl 0.7646 0.2563 0.0004


Crystalline Cs2TlPdCl6 at its relaxed geometry. Source: OQMD via LeMat-Bulk, functional PBE-GGA.

Output
Energy (eV/atom): -3.24
SG: R-3, No. 148

Lattice parameters (Å, degrees): 7.5417 7.5417 7.5417 60.03 60.03 60.03
Sites, in units of the cell vectors:
1 Cs 0.2505 0.2505 0.2505
2 Cs 0.7495 0.7495 0.7495
3 Tl 0.5000 0.5000 0.5000
4 Pd 0.0000 0.0000 0.0000
5 Cl 0.2240 0.2372 0.7699
6 Cl 0.2301 0.7760 0.7628
7 Cl 0.2372 0.7699 0.2240
8 Cl 0.7628 0.2301 0.7760
9 Cl 0.7699 0.2240 0.2372
10 Cl 0.7760 0.7628 0.2301


Crystalline CsTlPdCl4 at its relaxed geometry. Source: OQMD via LeMat-Bulk, functional PBE-GGA.

Output
Energy (eV/atom): -3.37
SG: Pmmm, No. 47

Lattice parameters (Å, degrees): 4.4459 7.1282 7.5348 90.00 90.00 90.00
Sites, in units of the cell vectors:
1 Cs 0.0000 0.0000 0.0000
2 Tl 0.0000 0.5000 0.5000
3 Pd 0.5000 0.0000 0.5000
4 Cl 0.5000 0.2335 0.2836
5 Cl 0.5000 0.2335 0.7164
6 Cl 0.5000 0.7665 0.2836
7 Cl 0.5000 0.7665 0.7164


Crystalline Cs2ZnPdCl6 at its relaxed geometry. Source: OQMD via LeMat-Bulk, functional PBE-GGA.

Output
Energy (eV/atom): -3.20
SG: I4/mmm, No. 139

Lattice parameters (Å, degrees): 7.4925 7.4925 7.4925 121.23 121.23 87.89
Sites, in units of the cell vectors:
1 Cs 0.2500 0.7500 0.5000
2 Cs 0.7500 0.2500 0.5000
3 Zn 0.0000 0.0000 0.0000
4 Pd 0.5000 0.5000 0.0000
5 Cl 0.2010 0.2010 0.0000
6 Cl 0.2743 0.2743 0.5485
7 Cl 0.2743 0.7257 0.0000
8 Cl 0.7257 0.2743 0.0000
9 Cl 0.7257 0.7257 0.4515
10 Cl 0.7990 0.7990 0.0000


Crystalline CsPu2Cl7 at its relaxed geometry. Source: OQMD via LeMat-Bulk, functional PBE-GGA.

Output
Energy (eV/atom): -6.19
Spin magnetization (Bohr magnetons per cell): 10.00
SG: Cmmm, No. 65

Lattice parameters (Å, degrees): 8.2262 8.2262 5.3873 90.00 90.00 116.99
Sites, in units of the cell vectors:
1 Cs 0.0000 0.0000 0.0000
2 Pu 0.3057 0.6943 0.5000
3 Pu 0.6943 0.3057 0.5000
4 Cl 0.0463 0.3266 0.5000
5 Cl 0.2991 0.7009 0.0000
6 Cl 0.3266 0.0463 0.5000
7 Cl 0.5000 0.5000 0.5000
8 Cl 0.6734 0.9537 0.5000
9 Cl 0.7009 0.2991 0.0000
10 Cl 0.9537 0.6734 0.5000


Crystalline CsPu2Cl6 at its relaxed geometry. Source: OQMD via LeMat-Bulk, functional PBE-GGA.

Output
Energy (eV/atom): -6.49
Spin magnetization (Bohr magnetons per cell): 11.00
SG: P-31m, No. 162

Lattice parameters (Å, degrees): 7.2416 7.2416 7.4977 90.00 90.00 120.00
Sites, in units of the cell vectors:
1 Cs 0.0000 0.0000 0.0000
2 Pu 0.3333 0.6667 0.5000
3 Pu 0.6667 0.3333 0.5000
4 Cl 0.0000 0.3776 0.7130
5 Cl 0.0000 0.6224 0.2870
6 Cl 0.3776 0.0000 0.7130
7 Cl 0.3776 0.3776 0.2870
8 Cl 0.6224 0.0000 0.2870
9 Cl 0.6224 0.6224 0.7130


Crystalline Cs2RbZrCl6 at its relaxed geometry. Source: OQMD via LeMat-Bulk, functional PBE-GGA.

Output
Energy (eV/atom): -4.10
Spin magnetization (Bohr magnetons per cell): 1.00
SG: Fm-3m, No. 225

Lattice parameters (Å, degrees): 7.9526 7.9526 7.9526 60.00 60.00 60.00
Sites, in units of the cell vectors:
1 Cs 0.2500 0.2500 0.2500
2 Cs 0.7500 0.7500 0.7500
3 Rb 0.0000 0.0000 0.0000
4 Zr 0.5000 0.5000 0.5000
5 Cl 0.2730 0.2730 0.7270
6 Cl 0.2730 0.7270 0.2730
7 Cl 0.2730 0.7270 0.7270
8 Cl 0.7270 0.2730 0.2730
9 Cl 0.7270 0.2730 0.7270
10 Cl 0.7270 0.7270 0.2730


Crystalline CsReCl6 at its relaxed geometry. Source: OQMD via LeMat-Bulk, functional PBE-GGA.

Output
Polymorph energy (0 for the lowest one) (meV per atom): 8
Spin magnetization (Bohr magnetons per cell): 2.00
SG: R-3m, No. 166

Lattice parameters (Å, degrees): 7.3547 7.3547 7.3547 55.29 55.29 55.29
Sites, in units of the cell vectors:
1 Cs 0.0000 0.0000 0.0000
2 Re 0.5000 0.5000 0.5000
3 Cl 0.1068 0.5889 0.5889
4 Cl 0.4111 0.4111 0.8932
5 Cl 0.4111 0.8932 0.4111
6 Cl 0.5889 0.1068 0.5889
7 Cl 0.5889 0.5889 0.1068
8 Cl 0.8932 0.4111 0.4111


Crystalline CsReCl6 at its relaxed geometry. Source: OQMD via LeMat-Bulk, functional PBE-GGA.

Output
Polymorph energy (0 for the lowest one) (meV per atom): 0
Spin magnetization (Bohr magnetons per cell): 4.02
SG: C2/c, No. 15

Lattice parameters (Å, degrees): 6.8853 6.8853 12.4451 100.92 100.92 55.65
Sites, in units of the cell vectors:
1 Cs 0.1167 0.8833 0.7500
2 Cs 0.8833 0.1167 0.2500
3 Re 0.0000 0.5000 0.0000
4 Re 0.5000 0.0000 0.5000
5 Cl 0.1103 0.2029 0.5397
6 Cl 0.1991 0.3714 0.8437
7 Cl 0.2029 0.1103 0.0397
8 Cl 0.2986 0.5387 0.1026
9 Cl 0.3714 0.1991 0.3437
10 Cl 0.4613 0.7014 0.3974
11 Cl 0.5387 0.2986 0.6026
12 Cl 0.6286 0.8009 0.6563
13 Cl 0.7014 0.4613 0.8974
14 Cl 0.7971 0.8897 0.9603
15 Cl 0.8009 0.6286 0.1563
16 Cl 0.8897 0.7971 0.4603


Crystalline CsReCl6 at its relaxed geometry. Source: OQMD via LeMat-Bulk, functional PBE-GGA.

Output
Polymorph energy (0 for the lowest one) (meV per atom): 9
Spin magnetization (Bohr magnetons per cell): 2.00
SG: R-3, No. 148

Lattice parameters (Å, degrees): 6.2565 6.2565 6.2565 98.82 98.82 98.82
Sites, in units of the cell vectors:
1 Cs 0.0000 0.0000 0.0000
2 Re 0.5000 0.5000 0.5000
3 Cl 0.1866 0.5738 0.2932
4 Cl 0.2932 0.1866 0.5738
5 Cl 0.4262 0.7068 0.8134
6 Cl 0.5738 0.2932 0.1866
7 Cl 0.7068 0.8134 0.4262
8 Cl 0.8134 0.4262 0.7068


Crystalline Cs3Re2SCl10 at its relaxed geometry. Source: OQMD via LeMat-Bulk, functional PBE-GGA.

Output
Energy (eV/atom): -4.28
Spin magnetization (Bohr magnetons per cell): 0.98
SG: I4/mmm, No. 139

Lattice parameters (Å, degrees): 10.9872 10.9872 10.9872 141.32 141.32 55.85
Sites, in units of the cell vectors:
1 Cs 0.0000 0.0000 0.0000
2 Cs 0.2500 0.7500 0.5000
3 Cs 0.7500 0.2500 0.5000
4 Re 0.3904 0.3904 0.0000
5 Re 0.6096 0.6096 0.0000
6 S 0.5000 0.5000 0.0000
7 Cl 0.1504 0.1504 0.5382
8 Cl 0.1504 0.6121 0.0000
9 Cl 0.2647 0.2647 0.0000
10 Cl 0.3879 0.3879 0.5382
11 Cl 0.3879 0.8496 0.0000
12 Cl 0.6121 0.1504 0.0000
13 Cl 0.6121 0.6121 0.4618
14 Cl 0.7353 0.7353 0.0000
15 Cl 0.8496 0.3879 0.0000
16 Cl 0.8496 0.8496 0.4618


Crystalline CsW2Se2Cl6 at its relaxed geometry. Source: OQMD via LeMat-Bulk, functional PBE-GGA.

Output
Energy (eV/atom): -4.88
Spin magnetization (Bohr magnetons per cell): 0.00
SG: C2/m, No. 12

Lattice parameters (Å, degrees): 6.5676 6.5676 10.7199 107.73 107.73 43.49
Sites, in units of the cell vectors:
1 Cs 0.0000 0.0000 0.0000
2 W 0.4963 0.4963 0.3600
3 W 0.5037 0.5037 0.6400
4 Se 0.0045 0.0045 0.6456
5 Se 0.9955 0.9955 0.3544
6 Cl 0.3348 0.3348 0.4435
7 Cl 0.3496 0.3496 0.1431
8 Cl 0.3635 0.3635 0.7557
9 Cl 0.6365 0.6365 0.2443
10 Cl 0.6504 0.6504 0.8569
11 Cl 0.6652 0.6652 0.5565


Crystalline CsSm2Cl5 at its relaxed geometry. Source: OQMD via LeMat-Bulk, functional PBE-GGA.

Output
Energy (eV/atom): -4.39
Spin magnetization (Bohr magnetons per cell): 0.01
SG: I4/mcm, No. 140

Lattice parameters (Å, degrees): 9.4532 9.4532 9.4532 132.08 132.08 70.11
Sites, in units of the cell vectors:
1 Cs 0.2500 0.2500 0.0000
2 Cs 0.7500 0.7500 0.0000
3 Sm 0.1490 0.6490 0.7981
4 Sm 0.3510 0.1490 0.5000
5 Sm 0.6490 0.8510 0.5000
6 Sm 0.8510 0.3510 0.2019
7 Cl 0.0000 0.0000 0.0000
8 Cl 0.0281 0.2320 0.5000
9 Cl 0.2320 0.7320 0.2039
10 Cl 0.2680 0.4719 0.5000
11 Cl 0.4719 0.9719 0.2039
12 Cl 0.5000 0.5000 0.0000
13 Cl 0.5281 0.0281 0.7961
14 Cl 0.7320 0.5281 0.5000
15 Cl 0.7680 0.2680 0.7961
16 Cl 0.9719 0.7680 0.5000


Crystalline Cs3SmCl6 at its relaxed geometry. Source: OQMD via LeMat-Bulk, functional PBE-GGA.

Output
Energy (eV/atom): -4.00
Spin magnetization (Bohr magnetons per cell): 0.00
SG: P2_1/c, No. 14

Lattice parameters (Å, degrees): 8.1017 8.5227 13.9921 90.00 124.53 90.00
Sites, in units of the cell vectors:
1 Cs 0.0000 0.0000 0.0000
2 Cs 0.0000 0.5000 0.5000
3 Cs 0.2214 0.0628 0.7443
4 Cs 0.2214 0.4372 0.2443
5 Cs 0.7786 0.5628 0.7557
6 Cs 0.7786 0.9372 0.2557
7 Sm 0.5000 0.0000 0.5000
8 Sm 0.5000 0.5000 0.0000
9 Cl 0.1825 0.1759 0.4519
10 Cl 0.1825 0.3241 0.9519
11 Cl 0.2647 0.7385 0.4305
12 Cl 0.2647 0.7615 0.9305
13 Cl 0.3937 0.0499 0.2805
14 Cl 0.3937 0.4501 0.7805
15 Cl 0.6063 0.5499 0.2195
16 Cl 0.6063 0.9501 0.7195
17 Cl 0.7353 0.2385 0.0695
18 Cl 0.7353 0.2615 0.5695
19 Cl 0.8175 0.6759 0.0481
20 Cl 0.8175 0.8241 0.5481


Crystalline Cs2TaTlCl6 at its relaxed geometry. Source: OQMD via LeMat-Bulk, functional PBE-GGA.

Output
Energy (eV/atom): -4.12
Spin magnetization (Bohr magnetons per cell): 2.00
SG: Fm-3m, No. 225

Lattice parameters (Å, degrees): 7.8048 7.8048 7.8048 60.00 60.00 60.00
Sites, in units of the cell vectors:
1 Cs 0.2500 0.2500 0.2500
2 Cs 0.7500 0.7500 0.7500
3 Ta 0.0000 0.0000 0.0000
4 Tl 0.5000 0.5000 0.5000
5 Cl 0.2241 0.2241 0.7759
6 Cl 0.2241 0.7759 0.2241
7 Cl 0.2241 0.7759 0.7759
8 Cl 0.7759 0.2241 0.2241
9 Cl 0.7759 0.2241 0.7759
10 Cl 0.7759 0.7759 0.2241


Crystalline Cs3TbCl6 at its relaxed geometry. Source: OQMD via LeMat-Bulk, functional PBE-GGA.

Output
Energy (eV/atom): -4.00
Spin magnetization (Bohr magnetons per cell): 0.00
SG: P2_1/c, No. 14

Lattice parameters (Å, degrees): 8.0488 8.4657 13.9437 90.00 124.63 90.00
Sites, in units of the cell vectors:
1 Cs 0.0000 0.0000 0.0000
2 Cs 0.0000 0.5000 0.5000
3 Cs 0.2235 0.0621 0.7455
4 Cs 0.2235 0.4379 0.2455
5 Cs 0.7765 0.5621 0.7545
6 Cs 0.7765 0.9379 0.2545
7 Tb 0.5000 0.0000 0.5000
8 Tb 0.5000 0.5000 0.0000
9 Cl 0.1870 0.1742 0.4537
10 Cl 0.1870 0.3258 0.9537
11 Cl 0.2689 0.7408 0.4334
12 Cl 0.2689 0.7592 0.9334
13 Cl 0.3912 0.0467 0.2827
14 Cl 0.3912 0.4533 0.7827
15 Cl 0.6088 0.5467 0.2173
16 Cl 0.6088 0.9533 0.7173
17 Cl 0.7311 0.2408 0.0666
18 Cl 0.7311 0.2592 0.5666
19 Cl 0.8130 0.6742 0.0463
20 Cl 0.8130 0.8258 0.5463


Crystalline Cs2TbTlCl6 at its relaxed geometry. Source: OQMD via LeMat-Bulk, functional PBE-GGA.

Output
Energy (eV/atom): -3.93
Spin magnetization (Bohr magnetons per cell): 0.00
SG: Fm-3m, No. 225

Lattice parameters (Å, degrees): 8.0456 8.0456 8.0456 60.00 60.00 60.00
Sites, in units of the cell vectors:
1 Cs 0.2500 0.2500 0.2500
2 Cs 0.7500 0.7500 0.7500
3 Tb 0.0000 0.0000 0.0000
4 Tl 0.5000 0.5000 0.5000
5 Cl 0.2319 0.2319 0.7681
6 Cl 0.2319 0.7681 0.2319
7 Cl 0.2319 0.7681 0.7681
8 Cl 0.7681 0.2319 0.2319
9 Cl 0.7681 0.2319 0.7681
10 Cl 0.7681 0.7681 0.2319


Crystalline Cs2TlTcCl6 at its relaxed geometry. Source: OQMD via LeMat-Bulk, functional PBE-GGA.

Output
Energy (eV/atom): -3.81
Spin magnetization (Bohr magnetons per cell): 2.00
SG: Fm-3m, No. 225

Lattice parameters (Å, degrees): 7.6900 7.6900 7.6900 60.00 60.00 60.00
Sites, in units of the cell vectors:
1 Cs 0.2500 0.2500 0.2500
2 Cs 0.7500 0.7500 0.7500
3 Tl 0.0000 0.0000 0.0000
4 Tc 0.5000 0.5000 0.5000
5 Cl 0.2782 0.2782 0.7218
6 Cl 0.2782 0.7218 0.2782
7 Cl 0.2782 0.7218 0.7218
8 Cl 0.7218 0.2782 0.2782
9 Cl 0.7218 0.2782 0.7218
10 Cl 0.7218 0.7218 0.2782


Crystalline Cs2ThCl at its relaxed geometry. Source: OQMD via LeMat-Bulk, functional PBE-GGA.

Output
Energy (eV/atom): -3.05
Spin magnetization (Bohr magnetons per cell): 0.63
SG: P-6m2, No. 187

Lattice parameters (Å, degrees): 3.8909 3.8909 12.9474 90.00 90.00 120.00
Sites, in units of the cell vectors:
1 Cs 0.0000 0.0000 0.1903
2 Cs 0.0000 0.0000 0.8097
3 Th 0.0000 0.0000 0.5000
4 Cl 0.6667 0.3333 0.0000


Crystalline Cs2ZrTlCl6 at its relaxed geometry. Source: OQMD via LeMat-Bulk, functional PBE-GGA.

Output
Energy (eV/atom): -4.05
Spin magnetization (Bohr magnetons per cell): 1.00
SG: Fm-3m, No. 225

Lattice parameters (Å, degrees): 7.9127 7.9127 7.9127 60.00 60.00 60.00
Sites, in units of the cell vectors:
1 Cs 0.2500 0.2500 0.2500
2 Cs 0.7500 0.7500 0.7500
3 Zr 0.0000 0.0000 0.0000
4 Tl 0.5000 0.5000 0.5000
5 Cl 0.2278 0.2278 0.7722
6 Cl 0.2278 0.7722 0.2278
7 Cl 0.2278 0.7722 0.7722
8 Cl 0.7722 0.2278 0.2278
9 Cl 0.7722 0.2278 0.7722
10 Cl 0.7722 0.7722 0.2278